The following is a DFT calculation (PBE with a Hubbard U) of a relaxed structure of CdCu2NiO.

Cell and atoms, written as CIF:
```
data_CdCu2NiO
_cell_length_a 4.730
_cell_length_b 4.730
_cell_length_c 4.800
_cell_angle_alpha 90.00
_cell_angle_beta 90.00
_cell_angle_gamma 90.00
_space_group_name_H-M_alt 'P 4/m m m'
_space_group_IT_number 123
_space_group_name_Hall '-P 4 2'
loop_
_atom_site_label
_atom_site_fract_x
_atom_site_fract_y
_atom_site_fract_z
Cd1 0.000 0.000 0.000
Cu1 0.000 0.500 0.000
Ni1 0.000 0.000 0.500
O1 0.500 0.500 0.500
```

Values from the calculation:
For the total energy, the calculation gives -1.858 eV/atom. The magnetization comes out at 1.088 Bohr magnetons per cell.